# 1
Material: Np2US5
Method: DFT, GGA-PBE
State: optimized geometry

Computed properties:
- Raw formation energy: -11.61 eV per formula unit
- Size of the total moment: 40.00 μB/cell
- Space-group type: Pnma
- ρ: 8.73 g/cm³

Unit cell a=7.304 b=7.906 c=11.492 alpha=90.00 beta=90.00 gamma=90.00
Site moments in Bohr magnetons follow the coordinates.
Fractional coordinates of all 32 atoms:
Np (0.023, 0.503, 0.322)  3.88
S (0.200, 0.250, 0.782)  -0.11
S (0.832, 0.453, 0.905)  -0.10
S (0.538, 0.750, 0.001)  -0.11
S (0.700, 0.750, 0.718)  -0.11
S (0.168, 0.953, 0.095)  -0.10
U (0.078, 0.250, 0.009)  2.05
S (0.800, 0.750, 0.218)  -0.11
Np (0.477, 0.997, 0.822)  3.88
S (0.668, 0.453, 0.405)  -0.10
S (0.962, 0.750, 0.501)  -0.11
S (0.168, 0.750, 0.811)  -0.11
S (0.462, 0.250, 0.999)  -0.11
S (0.038, 0.250, 0.499)  -0.11
U (0.578, 0.750, 0.491)  2.05
Np (0.523, 0.003, 0.178)  3.88
S (0.668, 0.250, 0.689)  -0.11
S (0.332, 0.750, 0.311)  -0.11
Np (0.977, 0.003, 0.678)  3.88
U (0.422, 0.250, 0.509)  2.05
S (0.332, 0.547, 0.595)  -0.10
Np (0.523, 0.497, 0.178)  3.88
Np (0.023, 0.997, 0.322)  3.88
S (0.168, 0.547, 0.095)  -0.10
Np (0.977, 0.497, 0.678)  3.88
Np (0.477, 0.503, 0.822)  3.88
S (0.832, 0.250, 0.189)  -0.11
S (0.300, 0.250, 0.282)  -0.11
U (0.922, 0.750, 0.991)  2.05
S (0.832, 0.047, 0.905)  -0.10
S (0.668, 0.047, 0.405)  -0.10
S (0.332, 0.953, 0.595)  -0.10


# 2
Material: CsPaTl2Br8
Method: DFT, GGA-PBE
State: optimized geometry

Computed properties:
- Raw formation energy: -15.64 eV per formula unit
- Size of the total moment: 0.00 μB/cell
- Space-group type: P-1
- ρ: 4.07 g/cm³

Unit cell a=6.953 b=8.029 c=10.333 alpha=89.88 beta=89.96 gamma=93.18
Fractional coordinates of all 12 atoms:
Br (0.446, 0.251, 0.500)
Pa (0.000, 0.000, 0.000)
Br (0.669, 0.807, 0.000)
Br (0.331, 0.193, 0.000)
Br (0.863, 0.203, 0.812)
Br (0.861, 0.202, 0.187)
Br (0.554, 0.749, 0.500)
Cs (0.000, 0.000, 0.500)
Tl (0.499, 0.499, 0.719)
Br (0.137, 0.797, 0.188)
Tl (0.501, 0.501, 0.281)
Br (0.139, 0.798, 0.813)


# 3
Material: TlFeOs4
Method: DFT, GGA-PBE
State: optimized geometry

Computed properties:
- Size of the total moment: 4.04 μB/cell
- Space-group type: F-43m
- ρ: 16.90 g/cm³
- Calculated formation energy: 0.964 eV per atom

Unit cell a=5.216 b=5.216 c=5.216 alpha=60.00 beta=60.00 gamma=60.00
Site moments in Bohr magnetons follow the coordinates.
Fractional coordinates of all 6 atoms:
Os (0.876, 0.375, 0.375)  0.20
Os (0.375, 0.375, 0.876)  0.20
Os (0.375, 0.876, 0.375)  0.20
Fe (0.000, 0.000, 0.000)  3.19
Tl (0.750, 0.750, 0.750)  -0.01
Os (0.375, 0.375, 0.375)  0.20


# 4
Material: Ca2ZrPb
Method: DFT, GGA-PBE
State: optimized geometry

Computed properties:
- Size of the total moment: 1.41 μB/cell
- Space-group type: I4/mmm
- ρ: 5.56 g/cm³
- Calculated formation energy: 0.011 eV per atom

Unit cell a=6.217 b=6.217 c=6.217 alpha=136.34 beta=136.34 gamma=63.46
Site moments in Bohr magnetons follow the coordinates.
Fractional coordinates of all 4 atoms:
Pb (0.250, 0.750, 0.500)  -0.03
Ca (0.000, 0.000, 0.000)  0.08
Ca (0.500, 0.500, 0.000)  0.08
Zr (0.750, 0.250, 0.500)  0.60


# 5
Material: DyGa3CuIr
Method: DFT, GGA-PBE
State: optimized geometry

Computed properties:
- Size of the total moment: 0.00 μB/cell
- Space-group type: Cmcm
- ρ: 9.51 g/cm³
- Calculated formation energy: -0.305 eV per atom

Unit cell a=6.154 b=6.041 c=6.622 alpha=117.14 beta=90.00 gamma=90.00
Fractional coordinates of all 12 atoms:
Ga (0.750, 0.841, 0.683)
Ga (0.500, 0.286, 0.000)
Ga (0.500, 0.714, 0.000)
Ga (0.000, 0.286, 0.000)
Cu (0.250, 0.946, 0.892)
Ir (0.750, 0.634, 0.268)
Dy (0.250, 0.714, 0.428)
Dy (0.750, 0.286, 0.572)
Cu (0.750, 0.054, 0.108)
Ga (0.000, 0.714, 0.000)
Ir (0.250, 0.366, 0.732)
Ga (0.250, 0.159, 0.317)


# 6
Material: LiNdNp2N4
Method: DFT, GGA-PBE
State: optimized geometry

Computed properties:
- Raw formation energy: -8.95 eV per formula unit
- Size of the total moment: 11.74 μB/cell
- Space-group type: Cmcm
- ρ: 10.28 g/cm³

Unit cell a=3.501 b=5.892 c=11.177 alpha=90.00 beta=90.00 gamma=107.28
Site moments in Bohr magnetons follow the coordinates.
Fractional coordinates of all 16 atoms:
N (0.265, 0.529, 0.390)  -0.13
Nd (0.106, 0.211, 0.750)  0.09
Np (0.629, 0.259, 0.058)  2.98
N (0.441, 0.882, 0.750)  -0.11
N (0.000, 0.000, 0.000)  -0.16
Np (0.371, 0.741, 0.942)  2.98
N (0.735, 0.471, 0.610)  -0.13
Np (0.371, 0.741, 0.558)  2.98
Nd (0.894, 0.789, 0.250)  0.09
Np (0.629, 0.259, 0.442)  2.98
Li (0.838, 0.676, 0.750)  0.02
N (0.735, 0.471, 0.890)  -0.13
N (0.000, 0.000, 0.500)  -0.16
N (0.265, 0.529, 0.110)  -0.13
Li (0.162, 0.324, 0.250)  0.02
N (0.559, 0.118, 0.250)  -0.11


# 7
Material: HoTmP2
Method: DFT, GGA-PBE
State: optimized geometry

Computed properties:
- Distance to the lowest polymorph of the same formula: 0 meV per atom
- Size of the total moment: 0.00 μB/cell
- Space-group type: C2/c
- ρ: 7.44 g/cm³
- Calculated formation energy: -1.611 eV per atom

Unit cell a=6.872 b=6.872 c=8.871 alpha=104.96 beta=104.96 gamma=109.47
Fractional coordinates of all 16 atoms:
Ho (0.313, 0.063, 0.625)
Tm (0.188, 0.438, 0.376)
Ho (0.438, 0.688, 0.876)
P (0.185, 0.936, 0.875)
P (0.310, 0.561, 0.125)
P (0.815, 0.064, 0.125)
P (0.062, 0.313, 0.625)
Tm (0.812, 0.562, 0.624)
Ho (0.562, 0.312, 0.124)
Ho (0.687, 0.937, 0.375)
P (0.563, 0.812, 0.625)
P (0.437, 0.188, 0.375)
Tm (0.937, 0.187, 0.875)
P (0.938, 0.687, 0.375)
Tm (0.063, 0.813, 0.125)
P (0.690, 0.439, 0.875)


# 8
Material: CsNp4Se8
Method: DFT, GGA-PBE
State: optimized geometry

Computed properties:
- Distance to the lowest polymorph of the same formula: 0 meV per atom
- Raw formation energy: -15.18 eV per formula unit
- Size of the total moment: 13.00 μB/cell
- Space-group type: R-3m
- ρ: 5.38 g/cm³

Unit cell a=8.308 b=8.308 c=10.066 alpha=65.63 beta=65.63 gamma=60.00
Site moments in Bohr magnetons follow the coordinates.
Fractional coordinates of all 13 atoms:
Se (0.224, 0.224, 0.828)  -0.13
Se (0.724, 0.224, 0.828)  -0.13
Se (0.224, 0.724, 0.828)  -0.13
Se (0.277, 0.277, 0.170)  -0.14
Se (0.776, 0.776, 0.172)  -0.13
Se (0.276, 0.776, 0.172)  -0.13
Se (0.776, 0.276, 0.172)  -0.13
Np (0.000, 0.000, 0.000)  3.53
Np (0.000, 0.500, 0.000)  3.48
Se (0.723, 0.723, 0.830)  -0.14
Np (0.500, 0.000, 0.000)  3.48
Np (0.500, 0.500, 0.000)  3.48
Cs (0.500, 0.500, 0.500)  0.00


E_tot
In order: -8.678 -3.675 -8.327 -4.054 -4.745 -9.352 -6.578 -7.360
Unit: eV/atom